Entry from OQMD via LeMat-Bulk: crystalline Y2LuIn at its relaxed geometry (GGA-PBE).

a = 5.4189 Å, b = 5.4189 Å, c = 5.4189 Å
α = 60.00°, β = 60.00°, γ = 60.00°
Closest atoms and distances in Å follow each position.
Element x y z (fractional)
In: 0.5000 0.5000 0.5000  4 Lu 3.32, 4 Y 3.32
Lu: 0.2500 0.2500 0.2500  4 In 3.32, 4 Y 3.32
Y: 0.0000 0.0000 0.0000  4 Y 3.32, 4 Lu 3.32
Y: 0.7500 0.7500 0.7500  4 Y 3.32, 4 In 3.32

Properties
calculated volume = 28.1 A^3/atom
total moment = 1.13 μB/f.u.
calculated total energy = -5.1480 eV/atom